No. 1
Compound: SrNiH3
Source: Alexandria
Functional: SCAN
Structure: single point on PBEsol structure

a b c (Å): 3.6188 3.6188 3.6188
angles (deg): 90.00 90.00 90.00
Closest atoms and distances in Å follow each position.
Atoms (fractional coordinates):
Sr1 0.0000 0.0000 0.0000  12 H 2.56
Ni1 0.5000 0.5000 0.5000  6 H 1.81
H1 0.0000 0.5000 0.5000  2 Ni 1.81
H2 0.5000 0.0000 0.5000  2 Ni 1.81
H3 0.5000 0.5000 0.0000  2 Ni 1.81

Summary:
total energy = -51.07 eV for the cell shown
symmetry = Pm-3m (221)

No. 2
Compound: ZrAlPt
Source: Alexandria
Functional: SCAN
Structure: single point on PBEsol structure

a b c (Å): 2.9467 2.9467 6.8138
angles (deg): 90.00 90.00 120.00
Closest atoms and distances in Å follow each position.
Atoms (fractional coordinates):
Zr1 0.0000 0.0000 0.0000  3 Pt 2.90, 6 Zr 2.95, 3 Al 2.99
Al1 0.6667 0.3333 0.6397  3 Pt 2.63, 6 Al 2.95
Pt1 0.3333 0.6667 0.3449  3 Al 2.63, 3 Zr 2.90, 6 Pt 2.95

Summary:
total energy = -110.30 eV for the cell shown
ΔE_f = -1.7 eV per formula unit
symmetry = P3m1 (156)

No. 3
Compound: SiAgIr3
Source: Alexandria
Functional: SCAN
Structure: single point on PBEsol structure

a b c (Å): 4.3824 4.3824 4.3824
angles (deg): 90.00 90.00 90.00
Closest atoms and distances in Å follow each position.
Atoms (fractional coordinates):
Si1 0.0000 0.0000 0.0000  6 Ir 2.19
Ag1 0.5000 0.5000 0.5000  12 Ir 3.10
Ir1 0.0000 0.0000 0.5000  2 Si 2.19
Ir2 0.0000 0.5000 0.0000  2 Si 2.19
Ir3 0.5000 0.0000 0.0000  2 Si 2.19

Summary:
formation energy without anion corrections = 3.9 eV per formula unit
total energy = -250.74 eV for the cell shown
symmetry = Pm-3m (221)

No. 4
Compound: AlFe3
Source: Alexandria
Functional: SCAN
Structure: single point on PBEsol structure

a b c (Å): 2.4958 3.9263 4.7633
angles (deg): 90.00 101.45 90.00
Closest atoms and distances in Å follow each position.
Atoms (fractional coordinates):
Al1 0.0000 0.0000 0.0000  6 Fe 2.46-2.48, 2 Al 2.50
Fe1 0.2797 0.5000 0.7452  6 Fe 2.40-2.50, 2 Al 2.48
Fe2 0.5000 0.0000 0.5000  6 Fe 2.40-2.50, 2 Al 2.46
Fe3 0.7203 0.5000 0.2548  6 Fe 2.40-2.50, 2 Al 2.48

Summary:
total energy = -62.93 eV for the cell shown
ΔE_f = -0.8 eV per formula unit
symmetry = P2/m (10)

No. 5
Compound: ScMnPd3
Source: Alexandria
Functional: SCAN
Structure: single point on PBEsol structure

a b c (Å): 4.5559 4.5559 4.5559
angles (deg): 90.00 90.00 90.00
Closest atoms and distances in Å follow each position.
Atoms (fractional coordinates):
Sc1 0.0000 0.0000 0.0000  12 Pd 3.22
Mn1 0.5000 0.5000 0.5000  6 Pd 2.28
Pd1 0.0000 0.5000 0.5000  2 Mn 2.28
Pd2 0.5000 0.0000 0.5000  2 Mn 2.28
Pd3 0.5000 0.5000 0.0000  2 Mn 2.28

Summary:
total energy = -130.26 eV for the cell shown
ΔE_f = 0.6 eV per formula unit
symmetry = Pm-3m (221)

No. 6
Compound: Cs3LiCa
Source: Alexandria
Functional: SCAN
Structure: single point on PBEsol structure

a b c (Å): 7.2919 7.2919 7.2919
angles (deg): 90.00 90.00 90.00
Closest atoms and distances in Å follow each position.
Atoms (fractional coordinates):
Cs1 0.0000 0.0000 0.5000  2 Li 3.65
Cs2 0.0000 0.5000 0.0000  2 Li 3.65
Cs3 0.5000 0.0000 0.0000  2 Li 3.65
Li1 0.0000 0.0000 0.0000  6 Cs 3.65
Ca1 0.5000 0.5000 0.5000  12 Cs 5.16

Summary:
total energy = -123.68 eV for the cell shown
ΔE_f = 1.8 eV per formula unit
symmetry = Pm-3m (221)

No. 7
Compound: La2BiCl2
Source: Alexandria
Functional: SCAN
Structure: single point on PBEsol structure

a b c (Å): 7.9356 7.9356 7.9356
angles (deg): 148.16 148.16 45.65
Closest atoms and distances in Å follow each position.
Atoms (fractional coordinates):
La1 0.1187 0.1187 0.0000  4 Cl 2.90
La2 0.8813 0.8813 0.0000  4 Cl 2.90
Bi1 0.5000 0.5000 0.0000  8 La 3.53
Cl1 0.2500 0.7500 0.5000  4 La 2.90, 4 Cl 3.08
Cl2 0.7500 0.2500 0.5000  4 La 2.90, 4 Cl 3.08

Summary:
formation energy without anion corrections = -9.2 eV per formula unit
total energy = -189.97 eV for the cell shown
symmetry = I4/mmm (139)

No. 8
Compound: TlP2Se
Source: Alexandria
Functional: SCAN
Structure: single point on PBEsol structure

a b c (Å): 8.1367 8.1367 8.1367
angles (deg): 24.58 24.58 24.58
Closest atoms and distances in Å follow each position.
Atoms (fractional coordinates):
Tl1 0.0000 0.0000 0.0000  3 Se 3.24, 3 P 3.25, 6 Tl 3.46
P1 0.2253 0.2253 0.2253  3 P 2.33
P2 0.5083 0.5083 0.5083  3 P 2.33, 3 Se 2.56
Se1 0.7744 0.7744 0.7744  3 P 2.56

Summary:
offset from the most stable computed form = 0.0526 eV per atom
formation energy without anion corrections = 0.5 eV per formula unit
total energy = -112.78 eV for the cell shown
symmetry = R3m (160)

No. 9
Compound: Zr5Tl3
Source: Alexandria
Functional: SCAN
Structure: single point on PBEsol structure

a b c (Å): 8.4423 8.4423 8.4423
angles (deg): 96.23 96.23 141.53
Closest atoms and distances in Å follow each position.
Atoms (fractional coordinates):
Zr1 0.0777 0.7752 0.8530  6 Tl 2.97-3.20, 3 Zr 3.15-3.29
Zr2 0.2248 0.0777 0.3025  6 Tl 2.97-3.20, 3 Zr 3.15-3.29
Zr3 0.2500 0.7500 0.5000  2 Zr 2.78, 4 Tl 2.98
Zr4 0.2752 0.5777 0.8530  6 Tl 2.97-3.20, 3 Zr 3.15-3.29
Zr5 0.4223 0.2752 0.6975  6 Tl 2.97-3.20, 3 Zr 3.15-3.29
Zr6 0.5777 0.7248 0.3025  6 Tl 2.97-3.20, 3 Zr 3.15-3.29
Zr7 0.7248 0.4223 0.1470  6 Tl 2.97-3.20, 3 Zr 3.15-3.29
Zr8 0.7500 0.2500 0.5000  2 Zr 2.78, 4 Tl 2.98
Zr9 0.7752 0.9223 0.6975  6 Tl 2.97-3.20, 3 Zr 3.15-3.29
Zr10 0.9223 0.2248 0.1470  6 Tl 2.97-3.20, 3 Zr 3.15-3.29
Tl1 0.1655 0.3345 0.5000  10 Zr 2.97-3.20
Tl2 0.2500 0.2500 0.0000  2 Tl 2.78, 8 Zr 3.02
Tl3 0.3345 0.8345 0.1690  10 Zr 2.97-3.20
Tl4 0.6655 0.1655 0.8310  10 Zr 2.97-3.20
Tl5 0.7500 0.7500 0.0000  2 Tl 2.78, 8 Zr 3.02
Tl6 0.8345 0.6655 0.5000  10 Zr 2.97-3.20

Summary:
offset from the most stable computed form = 0.0085 eV per atom
total energy = -745.83 eV for the cell shown
ΔE_f = -2.3 eV per formula unit
symmetry = I4/mcm (140)

No. 10
Compound: Li2CuSiO4
Source: Alexandria
Functional: SCAN
Structure: single point on PBEsol structure

a b c (Å): 5.2270 5.2270 5.2270
angles (deg): 130.86 130.86 72.04
Closest atoms and distances in Å follow each position.
Atoms (fractional coordinates):
Li1 0.2500 0.7500 0.5000  4 O 1.94
Li2 0.7500 0.2500 0.5000  4 O 1.94
Cu1 0.0000 0.0000 0.0000  4 O 1.97
Si1 0.5000 0.5000 0.0000  4 O 1.64
O1 0.1694 0.6080 0.0000  1 Si 1.64
O2 0.3920 0.3920 0.5614  1 Si 1.64
O3 0.6080 0.1694 0.0000  1 Si 1.64
O4 0.8306 0.8306 0.4386  1 Si 1.64

Summary:
offset from the most stable computed form = 0.0061 eV per atom
formation energy without anion corrections = -17.9 eV per formula unit
total energy = -72.79 eV for the cell shown
symmetry = I-42m (121)

No. 11
Compound: Ca2ZnOs
Source: Alexandria
Functional: SCAN
Structure: single point on PBEsol structure

a b c (Å): 4.7727 4.7727 4.7727
angles (deg): 60.00 60.00 60.00
Closest atoms and distances in Å follow each position.
Atoms (fractional coordinates):
Ca1 0.0000 0.0000 0.0000  4 Os 2.92, 4 Ca 2.92
Ca2 0.2500 0.2500 0.2500  4 Ca 2.92, 4 Zn 2.92
Zn1 0.5000 0.5000 0.5000  4 Ca 2.92, 4 Os 2.92
Os1 0.7500 0.7500 0.7500  4 Ca 2.92, 4 Zn 2.92

Summary:
total energy = -103.47 eV for the cell shown
ΔE_f = 1.3 eV per formula unit
symmetry = F-43m (216)

No. 12
Compound: La2HgH2
Source: Alexandria
Functional: SCAN
Structure: single point on PBEsol structure

a b c (Å): 6.9143 6.9143 6.9143
angles (deg): 146.76 146.76 47.71
Closest atoms and distances in Å follow each position.
Atoms (fractional coordinates):
La1 0.1457 0.1457 0.0000  4 H 2.38
La2 0.8543 0.8543 0.0000  4 H 2.38
Hg1 0.5000 0.5000 0.0000  8 La 3.35, 8 H 3.73
H1 0.2500 0.7500 0.5000  4 La 2.38
H2 0.7500 0.2500 0.5000  4 La 2.38

Summary:
total energy = -165.03 eV for the cell shown
symmetry = I4/mmm (139)